Material: Zn2HgOs
Method: DFT, GGA-PBE
State: optimized geometry

- Space-group type: Cmm2

Cell: 2.8683 2.8683 9.4390 Å, 90.00 90.00 121.06°
Last column: nearest neighbours and their distance in Å.
Atoms (fractional coordinates):
Zn1 0.0000 0.0000 0.0000  2 Os 2.57, 8 Zn 2.62-2.87
Zn2 0.5000 0.5000 0.2335  8 Zn 2.62-2.87, 2 Hg 2.90
Hg1 0.0000 0.0000 0.5021  6 Hg 2.82-2.87, 2 Zn 2.90, 2 Os 2.91
Os1 0.5000 0.5000 0.7720  2 Zn 2.57, 6 Os 2.82-2.87


Material: La4Tb2Pm3
Method: DFT, GGA-PBE
State: optimized geometry

- Space-group type: P3m1
- Distance to the lowest polymorph of the same formula: 0 meV per atom

Cell: 3.6531 3.6531 27.5136 Å, 90.00 90.00 120.00°
Last column: nearest neighbours and their distance in Å.
Atoms (fractional coordinates):
La1 0.0000 0.0000 0.0000  1 Tb 3.44, 6 La 3.65, 3 Pm 3.66
La2 0.0000 0.0000 0.2204  9 La 3.65-3.79, 3 Pm 3.73
La3 0.3333 0.6667 0.3349  9 La 3.65-3.79, 3 Pm 3.69
La4 0.3333 0.6667 0.5572  3 Tb 3.64, 6 La 3.65, 3 Pm 3.74
Tb1 0.0000 0.0000 0.6651  3 Pm 3.62, 3 La 3.64, 6 Tb 3.65
Tb2 0.0000 0.0000 0.8749  1 La 3.44, 3 Pm 3.53, 6 Tb 3.65
Pm1 0.0000 0.0000 0.4449  6 Pm 3.65, 6 La 3.69-3.74
Pm2 0.3333 0.6667 0.1086  6 Pm 3.65, 6 La 3.66-3.73
Pm3 0.3333 0.6667 0.7722  6 Tb 3.53-3.62, 6 Pm 3.65


Number 1: calculated total energy -12.3 eV for the cell shown. Number 2: calculated total energy -42.6 eV for the cell shown.